(1)
Computed, not measured: a relaxed Ta2NiSn crystal at the PBE level of DFT.

Theoretical density: 11974 kg/m³
M_tot: 0.00 μB per cell
D(E_F): 1.295 states/eV/atom
DFT formation energy: 0.495 eV per atom

abc: 10.409 10.409 10.409
angles: 158.64 158.64 30.39
Element x y z (fractional)
1 Ta 0.124 0.625 0.999
2 Ta 0.375 0.374 0.499
3 Ta 0.626 0.125 0.001
4 Ta 0.875 0.876 0.501
5 Ni 0.000 0.000 0.000
6 Ni 0.750 0.250 0.500
7 Sn 0.250 0.750 0.500
8 Sn 0.500 0.500 0.000

(2)
Computed, not measured: a relaxed Ta3NiSn crystal at the PBE level of DFT.

Theoretical density: 12054 kg/m³
M_tot: 0.00 μB per cell
D(E_F): 1.045 states/eV/atom
DFT formation energy: 0.640 eV per atom

abc: 4.630 4.630 4.630
angles: 90.00 90.00 90.00
Element x y z (fractional)
1 Ta 0.000 0.000 0.500
2 Ta 0.000 0.500 0.000
3 Ta 0.500 0.000 0.000
4 Ni 0.000 0.000 0.000
5 Sn 0.500 0.500 0.500

What is the theoretical density in the first record?
11974 kg/m³

What is the DFT formation energy in the first record?
0.495 eV per atom